VASP calculation (GGA-PBE) on a geometry-optimized LiTcPd2C structure.

energy relative to the elements	995	meV per atom
E	-26.91	eV for the cell shown

The structure in extended XYZ format:
```
5
Lattice="4.934 0.000 0.000 0.000 4.934 0.000 0.000 0.000 3.859" Properties=species:S:1:pos:R:3 pbc="T T T"
Li 0.000 0.000 0.000
Tc 2.467 2.467 1.930
Pd 0.000 2.467 1.930
Pd 2.467 0.000 1.930
C 2.467 2.467 0.000
```